Here is an optimized crystal structure of Li2InAg2 from the Alexandria database. Energies are from GGA-PBE.

Results
density of states at the Fermi level: 0.2203 states/eV per atom
offset from the most stable computed form: 85 kJ/mol of formula units
space-group type: I4/mmm
magnetization: 0.000 Bohr magnetons per cell
energy relative to the elements: -0.27 eV/f.u.

Unit cell a=3.9271 b=3.9271 c=6.8142 alpha=73.25 beta=73.25 gamma=90.00
Positions (direct):
Li: 0.3977 0.3977 0.2047
Li: 0.6023 0.6023 0.7953
Ag: 0.7500 0.2500 0.5000
Ag: 0.2500 0.7500 0.5000
In: 0.0000 0.0000 0.0000



Here is an optimized crystal structure of Li2In7Ag2 from the Alexandria database. Energies are from GGA-PBE.

Results
density of states at the Fermi level: 0.2752 states/eV per atom
space-group type: C2/m
magnetization: 0.000 Bohr magnetons per cell
energy relative to the elements: -1.05 eV/f.u.

Unit cell a=5.9026 b=5.9026 c=7.4654 alpha=98.96 beta=98.96 gamma=101.58
Positions (direct):
Li: 0.5985 0.5985 0.8359
Li: 0.4015 0.4015 0.1641
In: 0.9123 0.5240 0.1895
In: 0.4760 0.0877 0.8105
In: 0.0877 0.4760 0.8105
In: 0.5240 0.9123 0.1895
In: 0.0000 0.0000 0.0000
In: 0.8354 0.8354 0.5775
In: 0.1646 0.1646 0.4225
Ag: 0.3149 0.6851 0.5000
Ag: 0.6851 0.3149 0.5000



Here is an optimized crystal structure of Li2InAg from the Alexandria database. Energies are from GGA-PBE.

Results
density of states at the Fermi level: 0.2677 states/eV per atom
space-group type: Cmmm
magnetization: 0.000 Bohr magnetons per cell
energy relative to the elements: -1.02 eV/f.u.

Unit cell a=4.5322 b=4.5321 c=3.3796 alpha=90.00 beta=90.00 gamma=90.73
Positions (direct):
In: 0.0000 0.5000 0.5000
Ag: 0.5000 0.0000 0.5000
Li: 0.0000 0.0000 0.0000
Li: 0.5000 0.5000 0.0000



Here is an optimized crystal structure of Li2InAg from the Alexandria database. Energies are from GGA-PBE.

Results
density of states at the Fermi level: 0.2617 states/eV per atom
space-group type: P4mm
magnetization: 0.000 Bohr magnetons per cell
energy relative to the elements: -0.77 eV/f.u.

Unit cell a=3.3168 b=3.3168 c=6.6244 alpha=90.00 beta=90.00 gamma=90.00
Positions (direct):
Li: 0.0000 0.0000 0.0134
Li: 0.5000 0.5000 0.2616
Ag: 0.0000 0.0000 0.4706
In: 0.5000 0.5000 0.7544



Here is an optimized crystal structure of Li3In4Ag from the Alexandria database. Energies are from GGA-PBE.

Results
density of states at the Fermi level: 0.1804 states/eV per atom
space-group type: C2/m
magnetization: 0.000 Bohr magnetons per cell
energy relative to the elements: -1.17 eV/f.u.

Unit cell a=3.4583 b=4.2747 c=11.8964 alpha=99.88 beta=98.36 gamma=90.00
Positions (direct):
Li: 0.0000 0.5000 0.0000
Li: 0.1426 0.1433 0.2852
Li: 0.8574 0.8567 0.7148
In: 0.4090 0.4059 0.8179
In: 0.5910 0.5941 0.1821
In: 0.7184 0.7195 0.4368
In: 0.2816 0.2805 0.5632
Ag: 0.5000 0.0000 0.0000



Here is an optimized crystal structure of Li9InAg2 from the Alexandria database. Energies are from GGA-PBE.

Results
density of states at the Fermi level: 0.5156 states/eV per atom
space-group type: P4/mmm
magnetization: 0.000 Bohr magnetons per cell
energy relative to the elements: -1.85 eV/f.u.

Unit cell a=4.1696 b=4.1696 c=12.1270 alpha=90.00 beta=90.00 gamma=90.00
Positions (direct):
Li: 0.5000 0.5000 0.0000
Li: 0.5000 0.5000 0.3387
Li: 0.5000 0.5000 0.6613
Li: 0.5000 0.0000 0.1762
Li: 0.5000 0.0000 0.5000
Li: 0.5000 0.0000 0.8238
Li: 0.0000 0.5000 0.1762
Li: 0.0000 0.5000 0.5000
Li: 0.0000 0.5000 0.8238
In: 0.0000 0.0000 0.0000
Ag: 0.0000 0.0000 0.3380
Ag: 0.0000 0.0000 0.6620



Here is an optimized crystal structure of LiIn6Ag2 from the Alexandria database. Energies are from GGA-PBE.

Results
density of states at the Fermi level: 0.4477 states/eV per atom
space-group type: C2/m
magnetization: 0.000 Bohr magnetons per cell
energy relative to the elements: -0.34 eV/f.u.

Unit cell a=4.5961 b=7.2593 c=7.1252 alpha=112.52 beta=108.82 gamma=90.00
Positions (direct):
Li: 0.5000 0.5000 0.0000
In: 0.3943 0.8090 0.7886
In: 0.6057 0.1910 0.2114
In: 0.7133 0.8355 0.4266
In: 0.1457 0.5180 0.2914
In: 0.2867 0.1645 0.5734
In: 0.8543 0.4820 0.7086
Ag: 0.9426 0.1437 0.8853
Ag: 0.0574 0.8563 0.1147



Here is an optimized crystal structure of Li7InAg4 from the Alexandria database. Energies are from GGA-PBE.

Results
density of states at the Fermi level: 0.3686 states/eV per atom
space-group type: C2/m
magnetization: 0.000 Bohr magnetons per cell
energy relative to the elements: -1.08 eV/f.u.

Unit cell a=4.9011 b=7.5964 c=6.9576 alpha=65.99 beta=69.38 gamma=71.18
Positions (direct):
Li: 0.7971 0.8791 0.5267
Li: 0.2029 0.1209 0.4733
Li: 0.0757 0.5814 0.2673
Li: 0.9243 0.4186 0.7327
Li: 0.2462 0.7185 0.7891
Li: 0.5000 0.0000 0.0000
Li: 0.7538 0.2815 0.2109
In: 0.0000 0.0000 0.0000
Ag: 0.5537 0.2866 0.6060
Ag: 0.4463 0.7134 0.3940
Ag: 0.6837 0.6485 0.9841
Ag: 0.3163 0.3515 0.0159



Here is an optimized crystal structure of Li2InAg3 from the Alexandria database. Energies are from GGA-PBE.

Results
density of states at the Fermi level: 0.3184 states/eV per atom
offset from the most stable computed form: 7 kJ/mol of formula units
space-group type: C2/m
magnetization: 0.000 Bohr magnetons per cell
energy relative to the elements: -1.04 eV/f.u.

Unit cell a=4.7231 b=7.5091 c=7.8825 alpha=124.44 beta=90.00 gamma=108.33
Positions (direct):
Li: 0.5289 0.0578 0.8571
Li: 0.4711 0.9422 0.1429
Li: 0.7873 0.5745 0.1389
Li: 0.2127 0.4255 0.8611
In: 0.8671 0.7342 0.8773
In: 0.1329 0.2658 0.1227
Ag: 0.2913 0.5826 0.6257
Ag: 0.9700 0.9400 0.6415
Ag: 0.6206 0.2413 0.6318
Ag: 0.3794 0.7587 0.3682
Ag: 0.0300 0.0600 0.3585
Ag: 0.7087 0.4174 0.3743



Here is an optimized crystal structure of Li3InAg2 from the Alexandria database. Energies are from GGA-PBE.

Results
density of states at the Fermi level: 0.3542 states/eV per atom
offset from the most stable computed form: 36 kJ/mol of formula units
space-group type: C2/m
magnetization: 0.000 Bohr magnetons per cell
energy relative to the elements: -1.01 eV/f.u.

Unit cell a=4.7160 b=7.5238 c=7.8554 alpha=124.72 beta=90.00 gamma=108.26
Positions (direct):
Li: 0.2946 0.5892 0.6194
Li: 0.9634 0.9268 0.6346
Li: 0.6207 0.2414 0.6323
Li: 0.3793 0.7586 0.3677
Li: 0.0366 0.0732 0.3654
Li: 0.7054 0.4108 0.3806
In: 0.8638 0.7277 0.8673
In: 0.1362 0.2723 0.1327
Ag: 0.5346 0.0693 0.8574
Ag: 0.4654 0.9307 0.1426
Ag: 0.7919 0.5838 0.1453
Ag: 0.2081 0.4162 0.8547



Here is an optimized crystal structure of Li3In2Ag6 from the Alexandria database. Energies are from GGA-PBE.

Results
density of states at the Fermi level: 0.2437 states/eV per atom
space-group type: P-1
magnetization: 0.000 Bohr magnetons per cell
energy relative to the elements: -2.01 eV/f.u.

Unit cell a=5.2718 b=4.8971 c=14.1414 alpha=61.64 beta=43.29 gamma=85.49
Positions (direct):
Li: 0.0000 0.0000 0.0000
Li: 0.4319 0.8073 0.4596
Li: 0.5681 0.1927 0.5404
In: 0.2620 0.0870 0.2712
In: 0.7380 0.9130 0.7288
Ag: 0.9336 0.6570 0.9006
Ag: 0.8251 0.2848 0.8155
Ag: 0.0664 0.3430 0.0994
Ag: 0.1749 0.7152 0.1845
Ag: 0.6274 0.5433 0.6395
Ag: 0.3726 0.4567 0.3605



Here is an optimized crystal structure of LiIn4Ag4 from the Alexandria database. Energies are from GGA-PBE.

Results
density of states at the Fermi level: 0.3295 states/eV per atom
offset from the most stable computed form: 0 kJ/mol of formula units
space-group type: I4/mmm
magnetization: 0.000 Bohr magnetons per cell
energy relative to the elements: -0.39 eV/f.u.

Unit cell a=4.3845 b=6.8693 c=6.8693 alpha=84.15 beta=71.39 gamma=71.39
Positions (direct):
Li: 0.0000 0.0000 0.0000
In: 0.6671 0.6660 0.9998
In: 0.3329 0.3340 0.0002
In: 0.6669 0.0002 0.6660
In: 0.3331 0.9998 0.3340
Ag: 0.6612 0.3386 0.3389
Ag: 0.3388 0.6614 0.6611
Ag: 0.0002 0.6611 0.3386
Ag: 0.9998 0.3389 0.6614